# Ca6FeCo3O12 (PBEsol, optimized geometry)
# E_form (uncorrected), eV/atom: -2.136
# Magnetic moment, μB/atom: 0.22
data_Ca6FeCo3O12
_cell_length_a 8.9377
_cell_length_b 8.9377
_cell_length_c 10.3734
_cell_angle_alpha 90.00
_cell_angle_beta 90.00
_cell_angle_gamma 120.00
_symmetry_space_group_name_H-M 'R 3 2'
_symmetry_Int_Tables_number 155
_symmetry_space_group_name_Hall 'R 3 2"'
loop_
_atom_site_label
_atom_site_fract_x
_atom_site_fract_y
_atom_site_fract_z
_atom_site_occupancy
Ca1 0.0000 0.3662 0.0000 1
Ca2 0.0000 0.6290 0.5000 1
Fe1 0.0000 0.0000 0.5000 1
Co1 0.0000 0.0000 0.0000 1
Co2 0.0000 0.0000 0.2510 1
O1 0.0230 0.8523 0.6305 1
O2 0.0242 0.1778 0.1407 1

---

# Sr2Ca6FeCo7O24 (PBEsol, optimized geometry)
# E_form (uncorrected), eV/atom: -1.778
# Magnetic moment, μB/atom: 0.49
data_Sr2Ca6FeCo7O24
_cell_length_a 7.4458
_cell_length_b 10.5297
_cell_length_c 10.5335
_cell_angle_alpha 90.00
_cell_angle_beta 90.00
_cell_angle_gamma 90.00
_symmetry_space_group_name_H-M 'A m m 2'
_symmetry_Int_Tables_number 38
loop_
_symmetry_equiv_pos_as_xyz
'x,y,z'
'-x,-y,z'
'-x,y,z'
'x,-y,z'
'x,y+1/2,z+1/2'
'-x,-y+1/2,z+1/2'
'-x,y+1/2,z+1/2'
'x,-y+1/2,z+1/2'
loop_
_atom_site_label
_atom_site_fract_x
_atom_site_fract_y
_atom_site_fract_z
_atom_site_occupancy
Sr1 0.2500 0.0000 0.0000 1
Ca1 0.2505 0.0000 0.4996 1
Ca2 0.2499 0.2501 0.2497 1
Fe1 0.0000 0.0000 0.7478 1
Co1 0.0000 0.0000 0.2513 1
Co2 0.0000 0.2484 0.4996 1
Co3 0.5000 0.0000 0.2513 1
Co4 0.5000 0.0000 0.7480 1
Co5 0.5000 0.2486 0.4997 1
O1 0.0000 0.1233 0.6245 1
O2 0.0000 0.1243 0.3760 1
O3 0.0000 0.1271 0.8708 1
O4 0.0000 0.1285 0.1278 1
O5 0.2484 0.0000 0.7463 1
O6 0.2495 0.2463 0.4999 1
O7 0.2498 0.0000 0.2537 1
O8 0.5000 0.1239 0.3761 1
O9 0.5000 0.1237 0.6240 1
O10 0.5000 0.1284 0.1281 1
O11 0.5000 0.1279 0.8714 1

---

# Sr7CaFe7CoO24 (PBEsol, optimized geometry)
# E_form (uncorrected), eV/atom: -2.017
# Magnetic moment, μB/atom: 0.63
data_Sr7CaFe7CoO24
_cell_length_a 10.6890
_cell_length_b 10.6890
_cell_length_c 13.0951
_cell_angle_alpha 90.00
_cell_angle_beta 90.00
_cell_angle_gamma 120.00
_symmetry_space_group_name_H-M 'R 3 m'
_symmetry_Int_Tables_number 160
_symmetry_space_group_name_Hall 'R 3 -2"'
loop_
_atom_site_label
_atom_site_fract_x
_atom_site_fract_y
_atom_site_fract_z
_atom_site_occupancy
Sr1 0.0000 0.0000 0.0000 1
Sr2 0.0010 0.5005 0.9990 1
Sr3 0.1672 0.3344 0.8329 1
Ca1 0.0000 0.0000 0.4975 1
Fe1 0.0000 0.0000 0.7484 1
Fe2 0.0011 0.5006 0.2490 1
Fe3 0.1672 0.3344 0.0828 1
Co1 0.0000 0.0000 0.2499 1
O1 0.0004 0.2477 0.4995 1
O2 0.9997 0.2505 0.9990 1
O3 0.0825 0.1650 0.6644 1
O4 0.0843 0.1687 0.1656 1
O5 0.1661 0.0830 0.3352 1
O6 0.1671 0.0835 0.8321 1

---

# SrCa7FeCo7O24 (PBEsol, optimized geometry)
# E_form (uncorrected), eV/atom: -1.775
# Magnetic moment, μB/atom: 0.49
data_SrCa7FeCo7O24
_cell_length_a 10.5054
_cell_length_b 10.5054
_cell_length_c 12.8702
_cell_angle_alpha 90.00
_cell_angle_beta 90.00
_cell_angle_gamma 120.00
_symmetry_space_group_name_H-M 'R 3 m'
_symmetry_Int_Tables_number 160
_symmetry_space_group_name_Hall 'R 3 -2"'
loop_
_atom_site_label
_atom_site_fract_x
_atom_site_fract_y
_atom_site_fract_z
_atom_site_occupancy
Sr1 0.0000 0.0000 0.0000 1
Ca1 0.0000 0.0000 0.4995 1
Ca2 0.0001 0.5001 0.9997 1
Ca3 0.0000 0.5000 0.4998 1
Fe1 0.0000 0.0000 0.7488 1
Co1 0.0000 0.0000 0.2505 1
Co2 0.0011 0.5005 0.2494 1
Co3 0.1672 0.3343 0.0833 1
O1 0.0003 0.2492 0.4999 1
O2 0.9996 0.2529 0.9997 1
O3 0.0825 0.1651 0.6663 1
O4 0.0844 0.1689 0.1685 1
O5 0.1661 0.0831 0.3339 1
O6 0.1675 0.0837 0.8306 1

---

# CaFeCo2Pt (PBEsol, optimized geometry)
# Energy of formation from the pure elements, kJ/mol of formula units: 383
# Magnetic moment, μB/atom: 1.43
data_CaFeCo2Pt
_cell_length_a 4.6266
_cell_length_b 4.6266
_cell_length_c 4.6375
_cell_angle_alpha 90.00
_cell_angle_beta 90.00
_cell_angle_gamma 90.00
_symmetry_space_group_name_H-M 'P 4/m m m'
_symmetry_Int_Tables_number 123
_symmetry_space_group_name_Hall '-P 4 2'
loop_
_atom_site_label
_atom_site_fract_x
_atom_site_fract_y
_atom_site_fract_z
_atom_site_occupancy
Ca1 0.0000 0.0000 0.0000 1
Fe1 0.5000 0.5000 0.0000 1
Co1 0.0000 0.5000 0.5000 1
Pt1 0.5000 0.5000 0.5000 1

---

# CaFe2CoSn (PBEsol, optimized geometry)
# Energy of formation from the pure elements, kJ/mol of formula units: 836
# Magnetic moment, μB/atom: 1.14
data_CaFe2CoSn
_cell_length_a 4.4726
_cell_length_b 4.4726
_cell_length_c 4.4332
_cell_angle_alpha 90.00
_cell_angle_beta 90.00
_cell_angle_gamma 90.00
_symmetry_space_group_name_H-M 'P 4/m m m'
_symmetry_Int_Tables_number 123
_symmetry_space_group_name_Hall '-P 4 2'
loop_
_atom_site_label
_atom_site_fract_x
_atom_site_fract_y
_atom_site_fract_z
_atom_site_occupancy
Ca1 0.0000 0.0000 0.0000 1
Fe1 0.0000 0.5000 0.0000 1
Co1 0.0000 0.0000 0.5000 1
Sn1 0.5000 0.5000 0.5000 1

---

Looking at E for the records above, in order, we have -0.5177 -0.5084 -0.5368 -0.5087 -0.4346 -0.3438 Ry per atom.
Looking at density for the records above, in order, we have 4.617 5.099 5.718 4.943 6.840 6.168 g cm⁻³.